[1]
# DyYErCd (PBE-GGA, optimized geometry)
data_DyYErCd
_space_group_name_H-M_alt 'P 4 m m'
_space_group_IT_number 99
_space_group_name_Hall 'P 4 -2'
_cell_length_a 3.5783
_cell_length_b 3.5783
_cell_length_c 9.0360
_cell_angle_alpha 90.00
_cell_angle_beta 90.00
_cell_angle_gamma 90.00
loop_
_atom_site_label
_atom_site_type_symbol
_atom_site_fract_x
_atom_site_fract_y
_atom_site_fract_z
_atom_site_occupancy
Dy1 Dy 0.0000 0.0000 0.0000 1
Y1 Y 0.0000 0.0000 0.4578 1
Er1 Er 0.5000 0.5000 0.7309 1
Cd1 Cd 0.5000 0.5000 0.2286 1
# E   -4.283 eV per atom
# Distance to the lowest polymorph of the same formula   0 meV/atom
# M_tot   0.00 Bohr magnetons per cell
# DFT formation energy   -147 meV/atom

[2]
# DyYErCd (PBE-GGA, optimized geometry)
data_DyYErCd
_space_group_name_H-M_alt 'F -4 3 m'
_space_group_IT_number 216
_space_group_name_Hall 'F -4 2 3'
_cell_length_a 7.6818
_cell_length_b 7.6818
_cell_length_c 7.6818
_cell_angle_alpha 90.00
_cell_angle_beta 90.00
_cell_angle_gamma 90.00
loop_
_atom_site_label
_atom_site_type_symbol
_atom_site_fract_x
_atom_site_fract_y
_atom_site_fract_z
_atom_site_occupancy
Dy1 Dy 0.0000 0.0000 0.0000 1
Y1 Y 0.0000 0.0000 0.5000 1
Er1 Er 0.2500 0.2500 0.2500 1
Cd1 Cd 0.2500 0.2500 0.7500 1
# E   -4.161 eV per atom
# Distance to the lowest polymorph of the same formula   122 meV/atom
# M_tot   0.15 Bohr magnetons per cell
# DFT formation energy   -25 meV/atom

[3]
# DyErZnCd (PBE-GGA, optimized geometry)
data_DyErZnCd
_space_group_name_H-M_alt 'F -4 3 m'
_space_group_IT_number 216
_space_group_name_Hall 'F -4 2 3'
_cell_length_a 7.2970
_cell_length_b 7.2970
_cell_length_c 7.2970
_cell_angle_alpha 90.00
_cell_angle_beta 90.00
_cell_angle_gamma 90.00
loop_
_atom_site_label
_atom_site_type_symbol
_atom_site_fract_x
_atom_site_fract_y
_atom_site_fract_z
_atom_site_occupancy
Dy1 Dy 0.0000 0.0000 0.0000 1
Er1 Er 0.0000 0.0000 0.5000 1
Zn1 Zn 0.2500 0.2500 0.7500 1
Cd1 Cd 0.2500 0.2500 0.2500 1
# E   -3.153 eV per atom
# Distance to the lowest polymorph of the same formula   18 meV/atom
# M_tot   0.00 Bohr magnetons per cell
# DFT formation energy   -315 meV/atom

[4]
# DyErZnCd (PBE-GGA, optimized geometry)
data_DyErZnCd
_space_group_name_H-M_alt 'P 4 m m'
_space_group_IT_number 99
_space_group_name_Hall 'P 4 -2'
_cell_length_a 3.5766
_cell_length_b 3.5766
_cell_length_c 7.5353
_cell_angle_alpha 90.00
_cell_angle_beta 90.00
_cell_angle_gamma 90.00
loop_
_atom_site_label
_atom_site_type_symbol
_atom_site_fract_x
_atom_site_fract_y
_atom_site_fract_z
_atom_site_occupancy
Dy1 Dy 0.0000 0.0000 0.0000 1
Er1 Er 0.0000 0.0000 0.4605 1
Zn1 Zn 0.5000 0.5000 0.2348 1
Cd1 Cd 0.5000 0.5000 0.7264 1
# E   -3.171 eV per atom
# Distance to the lowest polymorph of the same formula   0 meV/atom
# M_tot   0.00 Bohr magnetons per cell
# DFT formation energy   -333 meV/atom

[5]
# EuDy2Cd (PBE-GGA, optimized geometry)
data_EuDy2Cd
_space_group_name_H-M_alt 'P 4/m m m'
_space_group_IT_number 123
_space_group_name_Hall '-P 4 2'
_cell_length_a 4.9551
_cell_length_b 4.9551
_cell_length_c 4.8509
_cell_angle_alpha 90.00
_cell_angle_beta 90.00
_cell_angle_gamma 90.00
loop_
_atom_site_label
_atom_site_type_symbol
_atom_site_fract_x
_atom_site_fract_y
_atom_site_fract_z
_atom_site_occupancy
Eu1 Eu 0.0000 0.0000 0.0000 1
Dy1 Dy 0.0000 0.5000 0.5000 1
Cd1 Cd 0.5000 0.5000 0.0000 1
# E   -5.136 eV per atom
# Distance to the lowest polymorph of the same formula   46 meV/atom
# M_tot   7.22 Bohr magnetons per cell
# DFT formation energy   -37 meV/atom

[6]
# EuDy2Cd (PBE-GGA, optimized geometry)
data_EuDy2Cd
_space_group_name_H-M_alt 'R -3 m'
_space_group_IT_number 166
_space_group_name_Hall '-R 3 2"'
_cell_length_a 3.6359
_cell_length_b 3.6359
_cell_length_c 33.2014
_cell_angle_alpha 90.00
_cell_angle_beta 90.00
_cell_angle_gamma 120.00
loop_
_atom_site_label
_atom_site_type_symbol
_atom_site_fract_x
_atom_site_fract_y
_atom_site_fract_z
_atom_site_occupancy
Eu1 Eu 0.0000 0.0000 0.0000 1
Dy1 Dy 0.0000 0.0000 0.2407 1
Cd1 Cd 0.0000 0.0000 0.5000 1
# E   -5.127 eV per atom
# Distance to the lowest polymorph of the same formula   55 meV/atom
# M_tot   23.47 Bohr magnetons per cell
# DFT formation energy   -28 meV/atom

[7]
# EuDy2Cd (PBE-GGA, optimized geometry)
data_EuDy2Cd
_space_group_name_H-M_alt 'P 4/m m m'
_space_group_IT_number 123
_space_group_name_Hall '-P 4 2'
_cell_length_a 3.7269
_cell_length_b 3.7269
_cell_length_c 8.9888
_cell_angle_alpha 90.00
_cell_angle_beta 90.00
_cell_angle_gamma 90.00
loop_
_atom_site_label
_atom_site_type_symbol
_atom_site_fract_x
_atom_site_fract_y
_atom_site_fract_z
_atom_site_occupancy
Eu1 Eu 0.0000 0.0000 0.0000 1
Dy1 Dy 0.5000 0.5000 0.2950 1
Cd1 Cd 0.0000 0.0000 0.5000 1
# E   -5.182 eV per atom
# Distance to the lowest polymorph of the same formula   0 meV/atom
# M_tot   7.72 Bohr magnetons per cell
# DFT formation energy   -83 meV/atom

[8]
# EuDyCd4 (PBE-GGA, optimized geometry)
data_EuDyCd4
_space_group_name_H-M_alt 'F -4 3 m'
_space_group_IT_number 216
_space_group_name_Hall 'F -4 2 3'
_cell_length_a 8.4734
_cell_length_b 8.4734
_cell_length_c 8.4734
_cell_angle_alpha 90.00
_cell_angle_beta 90.00
_cell_angle_gamma 90.00
loop_
_atom_site_label
_atom_site_type_symbol
_atom_site_fract_x
_atom_site_fract_y
_atom_site_fract_z
_atom_site_occupancy
Eu1 Eu 0.0000 0.0000 0.0000 1
Dy1 Dy 0.2500 0.2500 0.2500 1
Cd1 Cd 0.1246 0.1246 0.6246 1
# E   -3.355 eV per atom
# M_tot   28.37 Bohr magnetons per cell
# DFT formation energy   -266 meV/atom

[9]
# EuDy2Cd (PBE-GGA, optimized geometry)
data_EuDy2Cd
_space_group_name_H-M_alt 'F m -3 m'
_space_group_IT_number 225
_space_group_name_Hall '-F 4 2 3'
_cell_length_a 7.7874
_cell_length_b 7.7874
_cell_length_c 7.7874
_cell_angle_alpha 90.00
_cell_angle_beta 90.00
_cell_angle_gamma 90.00
loop_
_atom_site_label
_atom_site_type_symbol
_atom_site_fract_x
_atom_site_fract_y
_atom_site_fract_z
_atom_site_occupancy
Eu1 Eu 0.0000 0.0000 0.0000 1
Dy1 Dy 0.2500 0.2500 0.2500 1
Cd1 Cd 0.0000 0.0000 0.5000 1
# E   -5.096 eV per atom
# Distance to the lowest polymorph of the same formula   86 meV/atom
# M_tot   28.53 Bohr magnetons per cell
# DFT formation energy   3 meV/atom

[10]
# EuDyCdGe (PBE-GGA, optimized geometry)
data_EuDyCdGe
_space_group_name_H-M_alt 'F -4 3 m'
_space_group_IT_number 216
_space_group_name_Hall 'F -4 2 3'
_cell_length_a 7.4297
_cell_length_b 7.4297
_cell_length_c 7.4297
_cell_angle_alpha 90.00
_cell_angle_beta 90.00
_cell_angle_gamma 90.00
loop_
_atom_site_label
_atom_site_type_symbol
_atom_site_fract_x
_atom_site_fract_y
_atom_site_fract_z
_atom_site_occupancy
Eu1 Eu 0.0000 0.0000 0.0000 1
Dy1 Dy 0.0000 0.0000 0.5000 1
Cd1 Cd 0.2500 0.2500 0.7500 1
Ge1 Ge 0.2500 0.2500 0.2500 1
# E   -5.555 eV per atom
# M_tot   29.87 Bohr magnetons per cell
# DFT formation energy   -453 meV/atom

[11]
# EuDyHoCd (PBE-GGA, optimized geometry)
data_EuDyHoCd
_space_group_name_H-M_alt 'F -4 3 m'
_space_group_IT_number 216
_space_group_name_Hall 'F -4 2 3'
_cell_length_a 7.8330
_cell_length_b 7.8330
_cell_length_c 7.8330
_cell_angle_alpha 90.00
_cell_angle_beta 90.00
_cell_angle_gamma 90.00
loop_
_atom_site_label
_atom_site_type_symbol
_atom_site_fract_x
_atom_site_fract_y
_atom_site_fract_z
_atom_site_occupancy
Eu1 Eu 0.0000 0.0000 0.0000 1
Dy1 Dy 0.0000 0.0000 0.5000 1
Ho1 Ho 0.2500 0.2500 0.7500 1
Cd1 Cd 0.2500 0.2500 0.2500 1
# E   -5.087 eV per atom
# M_tot   28.23 Bohr magnetons per cell
# DFT formation energy   6 meV/atom

[12]
# EuDyCdIr (PBE-GGA, optimized geometry)
data_EuDyCdIr
_space_group_name_H-M_alt 'F -4 3 m'
_space_group_IT_number 216
_space_group_name_Hall 'F -4 2 3'
_cell_length_a 7.2202
_cell_length_b 7.2202
_cell_length_c 7.2202
_cell_angle_alpha 90.00
_cell_angle_beta 90.00
_cell_angle_gamma 90.00
loop_
_atom_site_label
_atom_site_type_symbol
_atom_site_fract_x
_atom_site_fract_y
_atom_site_fract_z
_atom_site_occupancy
Eu1 Eu 0.0000 0.0000 0.0000 1
Dy1 Dy 0.0000 0.0000 0.5000 1
Cd1 Cd 0.2500 0.2500 0.2500 1
Ir1 Ir 0.2500 0.2500 0.7500 1
# E   -6.539 eV per atom
# M_tot   27.49 Bohr magnetons per cell
# DFT formation energy   -376 meV/atom

[13]
# LaEuDyCd (PBE-GGA, optimized geometry)
data_LaEuDyCd
_space_group_name_H-M_alt 'F -4 3 m'
_space_group_IT_number 216
_space_group_name_Hall 'F -4 2 3'
_cell_length_a 7.9487
_cell_length_b 7.9487
_cell_length_c 7.9487
_cell_angle_alpha 90.00
_cell_angle_beta 90.00
_cell_angle_gamma 90.00
loop_
_atom_site_label
_atom_site_type_symbol
_atom_site_fract_x
_atom_site_fract_y
_atom_site_fract_z
_atom_site_occupancy
La1 La 0.0000 0.0000 0.0000 1
Eu1 Eu 0.2500 0.2500 0.2500 1
Dy1 Dy 0.0000 0.0000 0.5000 1
Cd1 Cd 0.2500 0.2500 0.7500 1
# E   -5.207 eV per atom
# M_tot   29.40 Bohr magnetons per cell
# DFT formation energy   -27 meV/atom

[14]
# EuDyMgCd (PBE-GGA, optimized geometry)
data_EuDyMgCd
_space_group_name_H-M_alt 'F -4 3 m'
_space_group_IT_number 216
_space_group_name_Hall 'F -4 2 3'
_cell_length_a 7.7038
_cell_length_b 7.7038
_cell_length_c 7.7038
_cell_angle_alpha 90.00
_cell_angle_beta 90.00
_cell_angle_gamma 90.00
loop_
_atom_site_label
_atom_site_type_symbol
_atom_site_fract_x
_atom_site_fract_y
_atom_site_fract_z
_atom_site_occupancy
Eu1 Eu 0.0000 0.0000 0.0000 1
Dy1 Dy 0.0000 0.0000 0.5000 1
Mg1 Mg 0.2500 0.2500 0.7500 1
Cd1 Cd 0.2500 0.2500 0.2500 1
# E   -4.520 eV per atom
# M_tot   28.61 Bohr magnetons per cell
# DFT formation energy   -174 meV/atom

[15]
# NdEuDyCd (PBE-GGA, optimized geometry)
data_NdEuDyCd
_space_group_name_H-M_alt 'F -4 3 m'
_space_group_IT_number 216
_space_group_name_Hall 'F -4 2 3'
_cell_length_a 7.8837
_cell_length_b 7.8837
_cell_length_c 7.8837
_cell_angle_alpha 90.00
_cell_angle_beta 90.00
_cell_angle_gamma 90.00
loop_
_atom_site_label
_atom_site_type_symbol
_atom_site_fract_x
_atom_site_fract_y
_atom_site_fract_z
_atom_site_occupancy
Nd1 Nd 0.0000 0.0000 0.0000 1
Eu1 Eu 0.2500 0.2500 0.2500 1
Dy1 Dy 0.0000 0.0000 0.5000 1
Cd1 Cd 0.2500 0.2500 0.7500 1
# E   -5.156 eV per atom
# M_tot   28.81 Bohr magnetons per cell
# DFT formation energy   -16 meV/atom

[16]
# EuDyCdNi (PBE-GGA, optimized geometry)
data_EuDyCdNi
_space_group_name_H-M_alt 'F -4 3 m'
_space_group_IT_number 216
_space_group_name_Hall 'F -4 2 3'
_cell_length_a 7.2791
_cell_length_b 7.2791
_cell_length_c 7.2791
_cell_angle_alpha 90.00
_cell_angle_beta 90.00
_cell_angle_gamma 90.00
loop_
_atom_site_label
_atom_site_type_symbol
_atom_site_fract_x
_atom_site_fract_y
_atom_site_fract_z
_atom_site_occupancy
Eu1 Eu 0.0000 0.0000 0.0000 1
Dy1 Dy 0.0000 0.0000 0.5000 1
Cd1 Cd 0.2500 0.2500 0.7500 1
Ni1 Ni 0.2500 0.2500 0.2500 1
# E   -5.547 eV per atom
# M_tot   27.92 Bohr magnetons per cell
# DFT formation energy   -154 meV/atom

[17]
# EuDyPuCd (PBE-GGA, optimized geometry)
data_EuDyPuCd
_space_group_name_H-M_alt 'F -4 3 m'
_space_group_IT_number 216
_space_group_name_Hall 'F -4 2 3'
_cell_length_a 7.7793
_cell_length_b 7.7793
_cell_length_c 7.7793
_cell_angle_alpha 90.00
_cell_angle_beta 90.00
_cell_angle_gamma 90.00
loop_
_atom_site_label
_atom_site_type_symbol
_atom_site_fract_x
_atom_site_fract_y
_atom_site_fract_z
_atom_site_occupancy
Eu1 Eu 0.0000 0.0000 0.0000 1
Dy1 Dy 0.0000 0.0000 0.5000 1
Pu1 Pu 0.2500 0.2500 0.7500 1
Cd1 Cd 0.2500 0.2500 0.2500 1
# E   -7.385 eV per atom
# M_tot   2.63 Bohr magnetons per cell
# DFT formation energy   146 meV/atom

[18]
# EuDyScCd (PBE-GGA, optimized geometry)
data_EuDyScCd
_space_group_name_H-M_alt 'F -4 3 m'
_space_group_IT_number 216
_space_group_name_Hall 'F -4 2 3'
_cell_length_a 7.6904
_cell_length_b 7.6904
_cell_length_c 7.6904
_cell_angle_alpha 90.00
_cell_angle_beta 90.00
_cell_angle_gamma 90.00
loop_
_atom_site_label
_atom_site_type_symbol
_atom_site_fract_x
_atom_site_fract_y
_atom_site_fract_z
_atom_site_occupancy
Eu1 Eu 0.0000 0.0000 0.0000 1
Dy1 Dy 0.0000 0.0000 0.5000 1
Sc1 Sc 0.2500 0.2500 0.2500 1
Cd1 Cd 0.2500 0.2500 0.7500 1
# E   -5.526 eV per atom
# M_tot   28.44 Bohr magnetons per cell
# DFT formation energy   5 meV/atom

[19]
# EuDyCdSi (PBE-GGA, optimized geometry)
data_EuDyCdSi
_space_group_name_H-M_alt 'F -4 3 m'
_space_group_IT_number 216
_space_group_name_Hall 'F -4 2 3'
_cell_length_a 7.3697
_cell_length_b 7.3697
_cell_length_c 7.3697
_cell_angle_alpha 90.00
_cell_angle_beta 90.00
_cell_angle_gamma 90.00
loop_
_atom_site_label
_atom_site_type_symbol
_atom_site_fract_x
_atom_site_fract_y
_atom_site_fract_z
_atom_site_occupancy
Eu1 Eu 0.0000 0.0000 0.0000 1
Dy1 Dy 0.0000 0.0000 0.5000 1
Cd1 Cd 0.2500 0.2500 0.2500 1
Si1 Si 0.2500 0.2500 0.7500 1
# E   -5.654 eV per atom
# M_tot   29.65 Bohr magnetons per cell
# E_form (uncorrected)   -33.8 kJ per mole of atoms

[20]
# EuDyTlCd (PBE-GGA, optimized geometry)
data_EuDyTlCd
_space_group_name_H-M_alt 'F -4 3 m'
_space_group_IT_number 216
_space_group_name_Hall 'F -4 2 3'
_cell_length_a 7.7142
_cell_length_b 7.7142
_cell_length_c 7.7142
_cell_angle_alpha 90.00
_cell_angle_beta 90.00
_cell_angle_gamma 90.00
loop_
_atom_site_label
_atom_site_type_symbol
_atom_site_fract_x
_atom_site_fract_y
_atom_site_fract_z
_atom_site_occupancy
Eu1 Eu 0.0000 0.0000 0.0000 1
Dy1 Dy 0.0000 0.0000 0.5000 1
Tl1 Tl 0.2500 0.2500 0.7500 1
Cd1 Cd 0.2500 0.2500 0.2500 1
# E   -4.888 eV per atom
# M_tot   29.07 Bohr magnetons per cell
# DFT formation energy   -349 meV/atom